(1)
The following is a PBE calculation of Ce8Co2Ni after structural relaxation, from Alexandria via LeMat-Bulk.

CIF file:
```
data_Ce8Co2Ni
_cell_length_a 7.911
_cell_length_b 11.197
_cell_length_c 6.045
_cell_angle_alpha 90.00
_cell_angle_beta 103.49
_cell_angle_gamma 90.00
_space_group_name_H-M_alt 'C 1 2/m 1'
_space_group_IT_number 12
_space_group_name_Hall '-C 2y'
loop_
_atom_site_label
_atom_site_type_symbol
_atom_site_fract_x
_atom_site_fract_y
_atom_site_fract_z
Ce1 Ce 0.000 0.241 0.000
Ce2 Ce 0.157 0.500 0.766
Ce3 Ce 0.204 0.153 0.711
Co1 Co 0.000 0.321 0.500
Ni1 Ni 0.000 0.000 0.000
```

Calculated values
total magnetic moment = 0.001 μB/f.u.
energy of formation = -0.032 eV per atom


(2)
The following is a PBE calculation of CaReAg2 after structural relaxation, from Alexandria via LeMat-Bulk.

CIF file:
```
data_CaReAg2
_cell_length_a 2.820
_cell_length_b 5.173
_cell_length_c 5.240
_cell_angle_alpha 90.00
_cell_angle_beta 90.00
_cell_angle_gamma 90.00
_space_group_name_H-M_alt 'P m m m'
_space_group_IT_number 47
_space_group_name_Hall '-P 2 2'
loop_
_atom_site_label
_atom_site_type_symbol
_atom_site_fract_x
_atom_site_fract_y
_atom_site_fract_z
Ca1 Ca 0.000 0.000 0.000
Re1 Re 0.500 0.500 0.000
Ag1 Ag 0.000 0.500 0.500
Ag2 Ag 0.500 0.000 0.500
```

Calculated values
total magnetic moment = 0.000 μB/f.u.
energy of formation = 0.669 eV per atom


(3)
The following is a PBE calculation of Rb3NdSc2Se6 after structural relaxation, from Alexandria via LeMat-Bulk.

CIF file:
```
data_Rb3NdSc2Se6
_cell_length_a 7.204
_cell_length_b 12.479
_cell_length_c 8.318
_cell_angle_alpha 90.00
_cell_angle_beta 106.85
_cell_angle_gamma 90.00
_space_group_name_H-M_alt 'C 1 2/m 1'
_space_group_IT_number 12
_space_group_name_Hall '-C 2y'
loop_
_atom_site_label
_atom_site_type_symbol
_atom_site_fract_x
_atom_site_fract_y
_atom_site_fract_z
Rb1 Rb 0.000 0.000 0.000
Rb2 Rb 0.000 0.338 0.000
Nd1 Nd 0.000 0.500 0.500
Sc1 Sc 0.000 0.167 0.500
Se1 Se 0.210 0.000 0.690
Se2 Se 0.240 0.323 0.691
```

Calculated values
total magnetic moment = 0.000 μB/f.u.
uncorrected formation energy = -1.624 eV/atom


no.,V (Å³/f.u.)
1,260.3
2,76.4
3,357.9